The following is a DFT calculation (PBE) of a geometry-optimized RbBe2H7 structure.

```
data_RbBe2H7
_chemical_formula_sum 'Rb1 Be2 H7'
_cell_length_a 3.312
_cell_length_b 5.692
_cell_length_c 5.692
_cell_angle_alpha 131.67
_cell_angle_beta 90.00
_cell_angle_gamma 90.00
_space_group_name_H-M_alt 'P 1'
_space_group_IT_number 1
loop_
_space_group_symop_operation_xyz
'x,y,z'
loop_
_atom_site_label
_atom_site_type_symbol
_atom_site_fract_x
_atom_site_fract_y
_atom_site_fract_z
Rb1 Rb 0.000 0.000 0.000
Be1 Be 0.500 0.677 0.323
Be2 Be 0.500 0.323 0.677
H1 H 0.000 0.675 0.325
H2 H 0.000 0.325 0.675
H3 H 0.500 0.934 0.302
H4 H 0.500 0.066 0.698
H5 H 0.500 0.302 0.934
H6 H 0.500 0.698 0.066
H7 H 0.500 0.500 0.500
```

Calculated values
Calculated density = 2.29 g cm⁻³
Electronic total energy = -2.93 eV/atom
Crystal system = orthorhombic